The following is a DFT calculation (PBE-GGA) of a relaxed Pm3Sm2Ho crystal.

Total energy: -0.33855 Ry per atom
E above lowest polymorph: 10.42 kJ/mol of atoms
Total moment: 0.0 Bohr magnetons per cell
Energy relative to the elements: 105 meV per atom

Unit cell a=3.5647 b=6.8911 c=17.6499 alpha=79.41 beta=84.20 gamma=75.01
Sites, in units of the cell vectors:
Ho  0.5425  0.5970  0.3180
Pm  0.6267  0.7365  0.0100
Pm  0.9358  0.9624  0.1660
Ho  0.4575  0.4030  0.6820
Sm  0.8004  0.5640  0.8351
Pm  0.3733  0.2635  0.9900
Sm  0.3688  0.7626  0.4998
Pm  0.2700  0.1247  0.3353
Sm  0.6312  0.2374  0.5002
Pm  0.7300  0.8753  0.6647
Sm  0.1996  0.4360  0.1649
Pm  0.0642  0.0376  0.8340